Record 1
The following is a DFT calculation (PBE-GGA) of an optimized crystal structure of ScBeNi2.

abc: 5.9312 4.8938 8.1943
angles: 90.00 90.00 90.00
Fractional coordinates of all 16 atoms:
Ni  0.3040  0.7500  0.8991
Ni  0.5000  0.0000  0.5000
Ni  0.6960  0.7500  0.8991
Ni  0.0000  0.5000  0.0000
Ni  0.5000  0.5000  0.5000
Ni  0.6960  0.2500  0.1009
Ni  0.0000  0.0000  0.0000
Ni  0.3040  0.2500  0.1009
Be  0.5000  0.2500  0.3059
Be  0.0000  0.7500  0.7556
Be  0.5000  0.7500  0.6941
Be  0.0000  0.2500  0.2444
Sc  0.5000  0.7500  0.1744
Sc  0.5000  0.2500  0.8256
Sc  0.0000  0.7500  0.3807
Sc  0.0000  0.2500  0.6193

* crystal system: orthorhombic
* formation energy: 0.099 eV/atom
* energy: -84.90 eV/cell


Record 2
The following is a DFT calculation (PBE-GGA) of an optimized crystal structure of Sc5BeNi4.

abc: 3.1637 3.1637 15.8944
angles: 90.00 90.00 90.00
Fractional coordinates of all 10 atoms:
Sc  0.5000  0.5000  0.2993
Sc  0.5000  0.5000  0.0987
Sc  0.5000  0.5000  0.7007
Sc  0.5000  0.5000  0.9013
Sc  0.5000  0.5000  0.5000
Be  0.0000  0.0000  0.0000
Ni  0.0000  0.0000  0.3996
Ni  0.0000  0.0000  0.8020
Ni  0.0000  0.0000  0.6004
Ni  0.0000  0.0000  0.1980

* crystal system: tetragonal
* formation energy: -0.410 eV/atom
* energy: -62.61 eV/cell


Record 3
The following is a DFT calculation (PBE-GGA) of an optimized crystal structure of ScBeNi2.

abc: 4.1596 4.1596 4.1596
angles: 60.00 60.00 60.00
Fractional coordinates of all 4 atoms:
Ni  0.7500  0.7500  0.7500
Ni  0.0000  0.0000  0.0000
Sc  0.2500  0.2500  0.2500
Be  0.5000  0.5000  0.5000

* crystal system: cubic
* formation energy: -0.162 eV/atom
* energy: -22.27 eV/cell


Record 4
The following is a DFT calculation (PBE-GGA) of an optimized crystal structure of ScBe2Ni2.

abc: 3.6644 3.6644 9.3770
angles: 101.27 101.27 90.00
Fractional coordinates of all 10 atoms:
Be  0.9347  0.9347  0.8693
Be  0.7500  0.2500  0.5000
Be  0.2500  0.7500  0.5000
Be  0.0653  0.0653  0.1307
Sc  0.6246  0.6246  0.2492
Sc  0.3754  0.3754  0.7508
Ni  0.8151  0.8151  0.6302
Ni  0.0000  0.5000  0.0000
Ni  0.5000  0.0000  0.0000
Ni  0.1849  0.1849  0.3698

* crystal system: tetragonal
* formation energy: -0.344 eV/atom
* energy: -54.14 eV/cell
* polymorph energy (0 for the lowest one): 2.3 kJ/mol of atoms


Q: Look up the energy of the first one.
A: -84.90 eV/cell